# CoIO (PBE+U, relaxed)
# Crystal system ... orthorhombic
# Distance to the lowest polymorph of the same formula ... 1.19 eV per formula unit
data_CoIO
_space_group_name_H-M_alt 'P 1'
_space_group_IT_number 1
_cell_length_a 3.521
_cell_length_b 3.822
_cell_length_c 8.248
_cell_angle_alpha 90.00
_cell_angle_beta 90.00
_cell_angle_gamma 90.00
loop_
_space_group_symop_operation_xyz
'x,y,z'
loop_
_atom_site_label
_atom_site_fract_x
_atom_site_fract_y
_atom_site_fract_z
Co1 0.250 0.250 0.090
Co2 0.750 0.750 0.910
I1 0.250 0.750 0.658
I2 0.750 0.250 0.342
O1 0.250 0.750 0.045
O2 0.750 0.250 0.955